Ge2PbS2 | meta-GGA SCAN | PBEsol geometry

- total DFT energy (no corrections) (eV for the cell shown) = -265.8
- DOS(E_F) (states/eV/atom) = 0.302
- crystal system = tetragonal

Lattice parameters (Å, degrees): 5.020 5.020 8.554 90.00 90.00 90.00
Space group I4/mmm (No. 139)
Inequivalent atoms, fractional coordinates:
1 Ge 0.000 0.000 0.156 x4
2 Pb 0.000 0.000 0.500 x2
3 S 0.000 0.500 0.250 x4